The following is a PBE calculation of an optimized crystal structure of TiFe2Os2, from Alexandria.

The value obtained for the total magnetization is 0.000 μB per cell. The calculation puts the offset from the most stable computed form at 73 meV/atom. As for the total energy: -93.88 eV per cell. The space-group type is P4/mbm, No. 127. The calculation puts the density at 13.2 g/cm³.

Lattice parameters (Å, degrees): 7.190 7.190 2.636 90.00 90.00 90.00
Sites, in units of the cell vectors:
Fe: 0.330 0.170 0.500
Fe: 0.670 0.830 0.500
Fe: 0.830 0.330 0.500
Fe: 0.170 0.670 0.500
Ti: 0.500 0.500 0.000
Ti: 0.000 0.000 0.000
Os: 0.373 0.873 0.000
Os: 0.127 0.373 0.000
Os: 0.627 0.127 0.000
Os: 0.873 0.627 0.000